one) Entry from the Alexandria database: TaNbAg2O6 after structural relaxation (PBEsol).

Structure (POSCAR):
```
TaNbAg2O6
1.0
5.504 0.000 0.000
0.000 5.604 0.000
0.000 0.000 15.633
Ta Nb Ag O
4 4 8 24
direct
0.254 0.987 0.875
0.746 0.513 0.375
0.254 0.013 0.125
0.746 0.487 0.625
0.746 0.514 0.125
0.254 0.986 0.625
0.746 0.486 0.875
0.254 0.014 0.375
0.754 0.000 0.000
0.246 0.500 0.500
0.245 0.500 0.000
0.755 0.000 0.500
0.760 0.016 0.250
0.240 0.484 0.750
0.760 0.984 0.750
0.240 0.516 0.250
0.457 0.706 0.108
0.543 0.794 0.608
0.457 0.294 0.892
0.543 0.206 0.392
0.542 0.796 0.892
0.458 0.704 0.392
0.542 0.204 0.108
0.458 0.296 0.608
0.821 0.500 0.000
0.179 0.000 0.500
0.181 0.000 0.000
0.819 0.500 0.500
0.681 0.476 0.251
0.319 0.024 0.751
0.681 0.524 0.749
0.319 0.976 0.249
0.962 0.784 0.143
0.038 0.716 0.643
0.962 0.216 0.857
0.038 0.284 0.357
0.042 0.719 0.857
0.958 0.781 0.357
0.042 0.281 0.143
0.958 0.219 0.643
```



two) Entry from the Alexandria database: TaNbAg2O6 after structural relaxation (PBEsol).

Structure (POSCAR):
```
TaNbAg2O6
1.0
3.967 0.000 0.000
0.000 3.967 0.000
0.000 0.000 7.936
Ta Nb Ag O
1 1 2 6
direct
0.500 0.500 0.500
0.500 0.500 0.000
0.000 0.000 0.749
0.000 0.000 0.251
0.500 0.000 0.000
0.500 0.000 0.500
0.500 0.500 0.749
0.500 0.500 0.251
0.000 0.500 0.000
0.000 0.500 0.500
```



Tell me which of them is the most stable. Sure, it is one).



one) PBEsol NbAg3Pt, optimized geometry; Fermi-level density of states = 5.35 states/eV/cell
1.0
4.897 0.000 0.000
0.000 4.897 0.000
0.000 0.000 4.897
Nb Ag Pt
1 3 1
direct
0.500 0.500 0.500
0.000 0.500 0.000
0.000 0.000 0.500
0.500 0.000 0.000
0.000 0.000 0.000



two) PBEsol NbAg3Pt, optimized geometry; Fermi-level density of states = 9.33 states/eV/cell
1.0
4.909 0.000 0.000
0.000 4.909 0.000
0.000 0.000 4.909
Nb Ag Pt
1 3 1
direct
0.000 0.000 0.000
0.000 0.500 0.000
0.000 0.000 0.500
0.500 0.000 0.000
0.500 0.500 0.500



Tell me which of them is the most stable. Sure, it is one).



one) PBEsol NiAgOs, optimized geometry; Fermi-level density of states = 4.14 states/eV/cell
1.0
2.635 0.000 0.000
-1.218 2.336 0.000
-0.708 -1.168 6.795
Ag Ni Os
1 1 1
direct
0.007 0.007 0.013
0.672 0.672 0.344
0.322 0.322 0.643



two) PBEsol NiAgOs, optimized geometry; Fermi-level density of states = 3.59 states/eV/cell
1.0
-2.133 -0.853 -1.094
2.341 -1.833 -3.133
-0.943 -2.230 3.577
Ag Ni Os
1 1 1
direct
0.843 0.000 0.000
0.821 0.333 0.667
0.336 0.667 0.333



Tell me which of them is the most stable. Sure, it is one).



one) PBEsol Ni2AgPb, optimized geometry; Fermi-level density of states = 2.83 states/eV/cell
1.0
-1.045 -2.780 1.330
-0.770 -1.125 -2.955
5.234 -2.216 -0.520
Ag Ni Pb
1 2 1
direct
0.500 0.500 0.500
0.000 0.000 0.741
0.000 0.000 0.259
0.500 0.500 0.000



two) PBEsol Ni2AgPb, optimized geometry; Fermi-level density of states = 2.58 states/eV/cell
1.0
4.403 0.000 0.000
-2.201 3.762 0.136
0.000 2.444 3.662
Ag Ni Pb
1 2 1
direct
0.500 0.000 0.500
0.750 0.500 0.750
0.250 0.500 0.250
0.000 0.000 0.000



Tell me which of them is the most stable. Sure, it is two).



one) PBEsol ReNiAg2, optimized geometry; Fermi-level density of states = 4.55 states/eV/cell
1.0
-3.553 -0.805 -0.828
1.071 -3.298 -1.389
0.759 0.309 4.873
Ag Ni Re
2 1 1
direct
0.750 0.250 0.500
0.250 0.750 0.500
0.500 0.500 0.000
0.000 0.000 0.000



two) PBEsol ReNiAg2, optimized geometry; Fermi-level density of states = 3.36 states/eV/cell
1.0
-0.351 -0.053 2.654
-4.457 -1.301 -0.616
3.716 -3.856 -0.936
Ag Ni Re
2 1 1
direct
0.995 0.995 0.991
0.772 0.272 0.543
0.511 0.511 0.022
0.222 0.722 0.444



Tell me which of them is the most stable. Sure, it is two).



one) PBEsol NiAgRh2, optimized geometry; Fermi-level density of states = 5.94 states/eV/cell
1.0
2.703 0.000 0.000
0.000 4.432 0.000
-1.352 -2.216 4.554
Ag Ni Rh
1 1 2
direct
0.500 0.000 0.000
0.000 0.500 0.000
0.725 0.725 0.450
0.275 0.275 0.550



two) PBEsol NiAgRh2, optimized geometry; Fermi-level density of states = 6.08 states/eV/cell
1.0
3.739 0.000 0.000
0.000 3.739 0.000
-1.870 -1.870 3.875
Ag Ni Rh
1 1 2
direct
0.500 0.500 0.000
0.000 0.000 0.000
0.750 0.250 0.500
0.250 0.750 0.500



Tell me which of them is the most stable. Sure, it is one).



one) PBEsol NiAgRu, optimized geometry; Fermi-level density of states = 5.99 states/eV/cell
1.0
-3.604 1.755 0.214
-2.041 0.810 -3.361
-3.308 -2.092 -0.893
Ag Ni Ru
1 1 1
direct
0.500 0.500 0.500
0.250 0.250 0.250
0.000 0.000 0.000



two) PBEsol NiAgRu, optimized geometry; Fermi-level density of states = 2.19 states/eV/cell
1.0
-0.094 -1.046 -2.325
-1.066 -3.780 1.744
-3.070 2.787 -1.130
Ag Ni Ru
1 1 1
direct
0.894 0.000 0.000
0.755 0.333 0.667
0.351 0.667 0.333



Tell me which of them is the most stable. Sure, it is two).